A plane-wave DFT calculation with PBE with a Hubbard U was carried out for crystalline TlNi2C2O6 at its relaxed geometry.

The calculation puts the calculated total energy at -66.69 eV/cell. The mass density comes out at 4.530 Mg/m³.

The structure belongs to space group P-1 (No. 2); the cell edges are 5.472, 5.912 and 6.275 Å and the angles 64.20°, 85.87° and 63.69°. Symmetry generates all atoms from Tl at (0.000, 0.000, 0.000), Ni at (0.245, 0.761, 0.464), C at (0.254, 0.305, 0.377), O at (0.152, 0.122, 0.477), O at (0.274, 0.407, 0.161) and O at (0.337, 0.365, 0.534).